# MnTeNF2 | Alexandria via LeMat-Bulk | PBE with a Hubbard U | optimized geometry
# - calculated volume (Å³/atom) = 17.92
# - excess energy over the best structure of this formula in the dataset (meV/atom) = 417
data_MnTeNF2
_chemical_formula_sum 'Mn1 Te1 N1 F2'
_cell_length_a 4.663
_cell_length_b 4.663
_cell_length_c 4.120
_cell_angle_alpha 90.00
_cell_angle_beta 90.00
_cell_angle_gamma 90.00
_symmetry_space_group_name_H-M 'P 4/m m m'
_symmetry_Int_Tables_number 123
_symmetry_space_group_name_Hall '-P 4 2'
loop_
_atom_site_label
_atom_site_type_symbol
_atom_site_fract_x
_atom_site_fract_y
_atom_site_fract_z
Mn1 Mn 0.000 0.000 0.000
Te1 Te 0.500 0.500 0.500
N1 N 0.500 0.500 0.000
F1 F 0.000 0.500 0.500